The following is a GGA-PBE calculation of an optimized crystal structure of Be5Zn4, from the Alexandria database.

a b c (Å): 5.6002 5.6002 5.6002
angles (deg): 95.70 95.70 143.26
Sites, in units of the cell vectors:
Be 0.0000 0.0000 0.0000
Be 0.3462 0.3462 0.6925
Be 0.3462 0.6538 0.0000
Be 0.6538 0.3462 0.0000
Be 0.6538 0.6538 0.3075
Zn 0.0000 0.3132 0.3132
Zn 0.0000 0.6868 0.6868
Zn 0.3132 0.0000 0.3132
Zn 0.6868 0.0000 0.6868

Values from the calculation:
- E_form: 19 kJ per mole of atoms
- Density: 5.1 g/cm³
- Offset from the most stable computed form: 0.0 meV per atom